Entry 1:
Compound: Pm6Co2SBr3
Source: the Alexandria database
Functional: PBE
Structure: optimized geometry

Summary:
ΔE_f (raw) in eV/atom: -1.039
Calculated volume in Å³ per cell: 324.53
Total magnetic moment in μB/f.u.: 0.000
Calculated total energy in eV/f.u.: -64.33
DOS at the Fermi energy in states/eV/atom: 0.555

abc: 7.0449 7.0449 7.9046
angles: 98.50 98.50 120.01
With the nearest neighbours (Å) after each atom.
Positions (direct):
Pm1 0.9349 0.5823 0.8064  2 Co 2.71, 1 S 2.89
Pm2 0.7112 0.7112 0.1929  2 Co 2.71, 1 S 2.88
Pm3 0.0651 0.4177 0.1936  2 Co 2.71, 1 S 2.89
Pm4 0.5823 0.9349 0.8064  2 Co 2.71, 1 S 2.89
Pm5 0.2888 0.2888 0.8071  2 Co 2.71, 1 S 2.88
Pm6 0.4177 0.0651 0.1936  2 Co 2.71, 1 S 2.89
Co1 0.3329 0.6671 0.0000  6 Pm 2.71
Co2 0.6671 0.3329 0.0000  6 Pm 2.71
S1 0.0000 0.0000 0.0000  6 Pm 2.88-2.89
Br1 0.1632 0.8368 0.5000  6 Pm 3.23-3.35
Br2 0.8368 0.1632 0.5000  6 Pm 3.23-3.35
Br3 0.5000 0.5000 0.5000  6 Pm 3.20-3.35

Entry 2:
Compound: Pm4CoSBr2
Source: the Alexandria database
Functional: PBE
Structure: optimized geometry

Summary:
ΔE_f (raw) in eV/atom: -1.169
Calculated volume in Å³ per cell: 213.89
Total magnetic moment in μB/f.u.: 0.000
Calculated total energy in eV/f.u.: -42.93
DOS at the Fermi energy in states/eV/atom: 0.573

abc: 3.9344 7.3034 7.7957
angles: 107.29 90.00 90.00
With the nearest neighbours (Å) after each atom.
Positions (direct):
Pm1 0.5000 0.2397 0.2004  2 S 2.78, 1 Co 2.80
Pm2 0.5000 0.7603 0.7996  2 S 2.78, 1 Co 2.80
Pm3 0.0000 0.2914 0.8061  2 Co 2.67, 1 S 2.95
Pm4 0.0000 0.7086 0.1939  2 Co 2.67, 1 S 2.95
Co1 0.5000 0.5000 0.0000  6 Pm 2.67-2.80
S1 0.0000 0.0000 0.0000  6 Pm 2.78-2.95
Br1 0.5000 0.0000 0.5000  6 Pm 3.31-3.33
Br2 0.0000 0.5000 0.5000  6 Pm 3.19-3.21

Entry 3:
Compound: Pm4CoS2Br
Source: the Alexandria database
Functional: PBE
Structure: optimized geometry

Summary:
ΔE_f (raw) in eV/atom: -1.276
Calculated volume in Å³ per cell: 195.60
Total magnetic moment in μB/f.u.: 0.000
Calculated total energy in eV/f.u.: -46.24
DOS at the Fermi energy in states/eV/atom: 0.767

abc: 3.9479 7.1384 7.3046
angles: 71.84 90.00 90.00
With the nearest neighbours (Å) after each atom.
Positions (direct):
Pm1 0.0000 0.7686 0.7231  3 S 2.76-2.98, 1 Co 2.88, 2 Br 3.04
Pm2 0.0000 0.2314 0.2769  3 S 2.76-2.98, 1 Co 2.88, 2 Br 3.04
Pm3 0.5000 0.7367 0.2773  2 Co 2.77, 3 S 2.84-3.03, 1 Br 3.02
Pm4 0.5000 0.2633 0.7227  2 Co 2.77, 3 S 2.84-3.03, 1 Br 3.02
Co1 0.0000 0.5000 0.5000  6 Pm 2.77-2.88
S1 0.0000 0.0000 0.0000  6 Pm 2.98-3.03
S2 0.5000 0.0000 0.5000  6 Pm 2.76-2.84
Br1 0.5000 0.5000 0.0000  6 Pm 3.02-3.04

Entry 4:
Compound: Pm4CoSe2Br
Source: the Alexandria database
Functional: PBE
Structure: optimized geometry

Summary:
ΔE_f (raw) in eV/atom: -1.199
Calculated volume in Å³ per cell: 209.00
Total magnetic moment in μB/f.u.: 0.000
Calculated total energy in eV/f.u.: -44.34
DOS at the Fermi energy in states/eV/atom: 0.777

abc: 4.0265 7.3369 7.4353
angles: 72.08 90.00 90.00
With the nearest neighbours (Å) after each atom.
Positions (direct):
Pm1 0.0000 0.7541 0.7269  1 Co 2.87, 3 Se 2.88-3.10, 2 Br 3.05
Pm2 0.0000 0.2459 0.2731  1 Co 2.87, 3 Se 2.88-3.10, 2 Br 3.05
Pm3 0.5000 0.7219 0.2856  2 Co 2.77, 1 Se 2.95, 1 Br 3.05
Pm4 0.5000 0.2781 0.7144  2 Co 2.77, 1 Se 2.95, 1 Br 3.05
Co1 0.0000 0.5000 0.5000  6 Pm 2.77-2.87
Se1 0.0000 0.0000 0.0000  6 Pm 3.10-3.17
Se2 0.5000 0.0000 0.5000  6 Pm 2.88-2.95
Br1 0.5000 0.5000 0.0000  6 Pm 3.05

Entry 5:
Compound: Pm6Co2SiBr3
Source: the Alexandria database
Functional: PBE
Structure: optimized geometry

Summary:
ΔE_f (raw) in eV/atom: -0.826
Calculated volume in Å³ per cell: 329.65
Total magnetic moment in μB/f.u.: 0.000
Calculated total energy in eV/f.u.: -63.07
DOS at the Fermi energy in states/eV/atom: 0.392

abc: 4.0591 9.0079 9.8023
angles: 109.48 101.95 90.00
With the nearest neighbours (Å) after each atom.
Positions (direct):
Pm1 0.3381 0.8666 0.6762  2 Co 2.75, 1 Si 2.92
Pm2 0.6798 0.5588 0.3596  3 Co 2.70-2.76
Pm3 0.6619 0.1334 0.3238  2 Co 2.75, 1 Si 2.92
Pm4 0.0222 0.2406 0.0443  1 Co 2.68, 2 Si 2.89
Pm5 0.9778 0.7594 0.9557  1 Co 2.68, 2 Si 2.89
Pm6 0.3202 0.4412 0.6404  3 Co 2.70-2.76
Co1 0.8292 0.6546 0.6584  6 Pm 2.68-2.76
Co2 0.1708 0.3454 0.3416  6 Pm 2.68-2.76
Si1 0.5000 0.0000 0.0000  6 Pm 2.89-2.92
Br1 0.5000 0.5000 0.0000  6 Pm 3.23-3.31
Br2 0.8390 0.1573 0.6780  6 Pm 3.31-3.38
Br3 0.1610 0.8427 0.3220  6 Pm 3.31-3.38

Entry 6:
Compound: Pm8CoSi3Br4
Source: the Alexandria database
Functional: PBE
Structure: optimized geometry

Summary:
ΔE_f (raw) in eV/atom: -0.958
Calculated volume in Å³ per cell: 448.69
Total magnetic moment in μB/f.u.: 0.009
Calculated total energy in eV/f.u.: -83.40
DOS at the Fermi energy in states/eV/atom: 0.732

abc: 8.4144 8.7823 8.4173
angles: 118.65 119.99 90.00
With the nearest neighbours (Å) after each atom.
Positions (direct):
Pm1 0.2261 0.7034 0.9772  1 Co 2.75, 2 Si 2.90
Pm2 0.2271 0.7043 0.4542  1 Co 2.76, 2 Si 2.90
Pm3 0.2621 0.2862 0.5242  3 Si 2.89, 3 Br 3.21
Pm4 0.7512 0.7034 0.9772  1 Co 2.75, 2 Si 2.90
Pm5 0.2488 0.2966 0.0228  1 Co 2.75, 2 Si 2.90
Pm6 0.7379 0.7138 0.4758  3 Si 2.89, 3 Br 3.21
Pm7 0.7729 0.2957 0.5458  1 Co 2.76, 2 Si 2.90
Pm8 0.7739 0.2966 0.0228  1 Co 2.75, 2 Si 2.90
Co1 0.0000 0.5000 0.0000  6 Pm 2.75-2.76
Si1 0.5000 0.5000 0.0000  6 Pm 2.89-2.90
Si2 0.5000 0.5000 0.5000  6 Pm 2.89-2.90
Si3 0.0000 0.5000 0.5000  6 Pm 2.89-2.90
Br1 0.5000 0.0000 0.0000  6 Pm 3.34-3.35
Br2 0.5000 0.0000 0.5000  6 Pm 3.21
Br3 0.0000 0.0000 0.0000  6 Pm 3.21
Br4 0.0000 0.0000 0.5000  6 Pm 3.21

Entry 7:
Compound: PmSmCoBr
Source: the Alexandria database
Functional: PBE
Structure: optimized geometry

Summary:
ΔE_f (raw) in eV/atom: -0.715
Calculated volume in Å³ per cell: 105.19
Total magnetic moment in μB/f.u.: 0.000
Calculated total energy in eV/f.u.: -21.11
DOS at the Fermi energy in states/eV/atom: 0.284

abc: 3.9450 3.9450 8.1299
angles: 90.01 104.04 120.00
With the nearest neighbours (Å) after each atom.
Positions (direct):
Pm1 0.5100 0.1528 0.6781  3 Co 2.72-2.73
Sm1 0.0975 0.9467 0.0597  3 Co 2.72
Co1 0.3044 0.5501 0.8698  3 Sm 2.72, 3 Pm 2.72-2.73
Br1 0.9660 0.3812 0.3620  3 Sm 3.28, 3 Pm 3.36

Entry 8:
Compound: TbPmCoBr
Source: the Alexandria database
Functional: PBE
Structure: optimized geometry

Summary:
ΔE_f (raw) in eV/atom: -0.722
Calculated volume in Å³ per cell: 102.51
Total magnetic moment in μB/f.u.: 0.000
Calculated total energy in eV/f.u.: -21.05
DOS at the Fermi energy in states/eV/atom: 0.214

abc: 3.9079 3.9055 8.0738
angles: 89.96 103.97 119.99
With the nearest neighbours (Å) after each atom.
Positions (direct):
Tb1 0.0983 0.9474 0.0596  3 Co 2.68
Pm1 0.5103 0.1530 0.6792  3 Co 2.71
Co1 0.3065 0.5512 0.8728  3 Tb 2.68, 3 Pm 2.71
Br1 0.9628 0.3792 0.3580  3 Tb 3.23, 3 Pm 3.36